Entry 1:
meta-GGA SCAN Tm2Cu2O5, PBEsol geometry; final energy = -20.932 eV per atom
1.0
-2.285 -2.303 1.052
7.586 -7.497 0.066
2.606 2.739 11.657
O Tm Cu
20 8 8
direct
0.781 0.428 0.264
0.220 0.327 0.858
0.719 0.928 0.264
0.777 0.578 0.973
0.281 0.072 0.764
0.672 0.875 0.666
0.713 0.323 0.066
0.720 0.173 0.358
0.828 0.375 0.666
0.787 0.823 0.066
0.213 0.177 0.566
0.723 0.078 0.973
0.219 0.572 0.764
0.223 0.422 0.473
0.328 0.125 0.166
0.287 0.677 0.566
0.172 0.625 0.166
0.780 0.673 0.358
0.280 0.827 0.858
0.277 0.922 0.473
0.717 0.292 0.502
0.217 0.208 0.002
0.718 0.457 0.830
0.782 0.957 0.830
0.283 0.708 0.002
0.783 0.792 0.502
0.282 0.543 0.330
0.218 0.043 0.330
0.849 0.762 0.218
0.342 0.011 0.613
0.651 0.262 0.218
0.658 0.989 0.113
0.349 0.738 0.718
0.151 0.238 0.718
0.158 0.511 0.613
0.842 0.489 0.113

Entry 2:
meta-GGA SCAN V2Cu2O7, PBEsol geometry; polymorph energy (0 for the lowest one) = 0.084 eV per formula unit; final energy = -11.814 eV per atom
1.0
5.374 0.029 0.000
-1.669 5.109 0.000
-1.853 -2.569 10.167
O V Cu
14 4 4
direct
0.600 0.100 0.500
0.527 0.922 0.001
0.350 0.350 0.000
0.855 0.050 0.823
0.168 0.548 0.783
0.634 0.515 0.717
0.300 0.605 0.323
0.282 0.977 0.677
0.172 0.277 0.501
0.776 0.672 0.499
0.798 0.918 0.283
0.227 0.032 0.177
0.922 0.526 0.999
0.765 0.384 0.217
0.468 0.163 0.100
0.413 0.218 0.600
0.618 0.812 0.400
0.062 0.368 0.900
0.949 0.711 0.172
0.539 0.778 0.828
0.028 0.289 0.328
0.961 0.699 0.672

Ρ (computed, Mg/m³): 8.12; 4.05
Uncorrected formation energy (computed, eV per atom): -2.574; -1.906